1.
VASP calculation (PBE) on a geometry-optimized Hf5PtN structure.

abc: 5.846 5.846 9.507
angles: 70.13 70.13 60.85
Sites, in units of the cell vectors:
Hf 0.797 0.438 0.470
Hf 0.039 0.961 0.750
Hf 0.203 0.562 0.530
Hf 0.953 0.626 0.127
N 0.000 0.000 0.000
Hf 0.438 0.797 0.970
Hf 0.626 0.953 0.627
N 0.000 0.000 0.500
Pt 0.485 0.515 0.250
Hf 0.562 0.203 0.030
Hf 0.047 0.374 0.873
Pt 0.515 0.485 0.750
Hf 0.961 0.039 0.250
Hf 0.374 0.047 0.373

Values from the calculation:
- space-group type = C2/c (15)
- total DFT energy (no corrections) (eV per formula unit) = -69.18
- DOS(E_F) (states/eV per cell) = 13.06
- crystal system = monoclinic

=====

2.
VASP calculation (PBE) on a geometry-optimized RbTl8Pd4 structure.

abc: 6.043 7.852 7.852
angles: 81.49 67.37 67.37
Sites, in units of the cell vectors:
Tl 0.722 0.778 0.778
Pd 0.000 0.500 0.000
Pd 0.500 0.500 0.000
Tl 0.000 0.661 0.339
Tl 0.278 0.222 0.222
Pd 0.000 0.000 0.500
Tl 0.339 0.661 0.661
Tl 0.500 0.222 0.778
Rb 0.000 0.000 0.000
Tl 0.661 0.339 0.339
Tl 0.000 0.339 0.661
Pd 0.500 0.000 0.500
Tl 0.500 0.778 0.222

Values from the calculation:
- space-group type = I4/mmm (139)
- formation energy from the elements (meV/atom) = -76
- total DFT energy (no corrections) (eV per formula unit) = -41.66
- DOS(E_F) (states/eV per cell) = 5.08
- crystal system = tetragonal